Record 1
This record from the Alexandria database describes an optimized crystal structure of K2CeSiS4. The functional is PBE-GGA.

Calculated values
Its space group is Imma, No. 74. Its raw formation energy is -1.138 eV per atom.

Lattice parameters (Å, degrees): 8.2766 8.2766 8.2766 120.30 119.02 90.59
Last column: nearest neighbours and their distance in Å.
Element x y z (fractional)
1 K 0.0000 0.0000 0.0000  6 S 3.13-3.14
2 K 0.5000 0.0000 0.0000  6 S 3.18-3.19
3 K 0.5000 0.0000 0.5000  6 S 3.13-3.14
4 K 0.5000 0.5000 0.5000  6 S 3.18-3.19
5 Ce 0.0000 0.5000 0.5000  6 S 2.72-2.78
6 Ce 0.5000 0.5000 0.0000  6 S 2.72-2.78
7 Si 0.0000 0.0000 0.5000  6 S 2.66-2.72
8 Si 0.0000 0.5000 0.0000  6 S 2.66-2.72
9 S 0.1920 0.7316 0.4603  1 Ce 2.72, 2 Si 2.72
10 S 0.2276 0.2579 0.5303  1 Si 2.66, 2 Ce 2.78
11 S 0.2276 0.6973 0.9697  1 Si 2.66, 2 Ce 2.78
12 S 0.2287 0.2684 0.9603  1 Ce 2.72, 2 Si 2.72
13 S 0.7713 0.7316 0.0397  1 Ce 2.72, 2 Si 2.72
14 S 0.7724 0.3027 0.0303  1 Si 2.66, 2 Ce 2.78
15 S 0.7724 0.7421 0.4697  1 Si 2.66, 2 Ce 2.78
16 S 0.8080 0.2684 0.5397  1 Ce 2.72, 2 Si 2.72


Record 2
This record from the Alexandria database describes an optimized crystal structure of K3Ce2SmS6. The functional is PBE-GGA.

Calculated values
Its space group is C2/m, No. 12. Its raw formation energy is -1.814 eV per atom.

Lattice parameters (Å, degrees): 7.2646 7.2646 7.7534 98.98 98.98 120.00
Last column: nearest neighbours and their distance in Å.
Element x y z (fractional)
1 K 0.0000 0.0000 0.0000  6 S 3.24-3.26
2 K 0.3335 0.6665 0.0000  6 S 3.24-3.26
3 K 0.6665 0.3335 0.0000  6 S 3.24-3.26
4 Ce 0.1667 0.8333 0.5000  6 S 2.86-2.87
5 Ce 0.8333 0.1667 0.5000  6 S 2.86-2.87
6 Sm 0.5000 0.5000 0.5000  6 S 2.84
7 S 0.1006 0.4314 0.2941  1 Sm 2.84, 2 Ce 2.86-2.87
8 S 0.2378 0.2378 0.7058  1 Sm 2.84, 2 Ce 2.86
9 S 0.4314 0.1006 0.2941  1 Sm 2.84, 2 Ce 2.86-2.87
10 S 0.5686 0.8994 0.7059  1 Sm 2.84, 2 Ce 2.86-2.87
11 S 0.7622 0.7622 0.2942  1 Sm 2.84, 2 Ce 2.86
12 S 0.8994 0.5686 0.7059  1 Sm 2.84, 2 Ce 2.86-2.87


Record 3
This record from the Alexandria database describes an optimized crystal structure of K2CeSmS4. The functional is PBE-GGA.

Calculated values
Its space group is P2/m, No. 10. Its raw formation energy is -1.826 eV per atom.

Lattice parameters (Å, degrees): 7.2430 4.1844 7.7538 90.00 108.13 90.00
Last column: nearest neighbours and their distance in Å.
Element x y z (fractional)
1 K 0.0000 0.0000 0.0000  6 S 3.25-3.26
2 K 0.5000 0.5000 0.0000  6 S 3.23-3.24
3 Ce 0.0000 0.5000 0.5000  6 S 2.86-2.87
4 Sm 0.5000 0.0000 0.5000  6 S 2.84
5 S 0.2379 0.0000 0.7060  1 Sm 2.84, 2 Ce 2.86
6 S 0.2674 0.5000 0.2944  2 Sm 2.84, 1 Ce 2.87
7 S 0.7326 0.5000 0.7056  2 Sm 2.84, 1 Ce 2.87
8 S 0.7621 0.0000 0.2940  1 Sm 2.84, 2 Ce 2.86


Record 4
This record from the Alexandria database describes an optimized crystal structure of K3Ce3SmS8. The functional is PBE-GGA.

Calculated values
Its space group is C2/m, No. 12. Its raw formation energy is -1.796 eV per atom.

Lattice parameters (Å, degrees): 8.2641 8.2641 7.6989 90.14 90.14 60.02
Last column: nearest neighbours and their distance in Å.
Element x y z (fractional)
1 K 0.0000 0.0000 0.0000  6 S 3.30-3.36
2 K 0.0000 0.5000 0.0000  6 S 3.31-3.35
3 K 0.5000 0.0000 0.0000  6 S 3.31-3.35
4 Ce 0.0000 0.5000 0.5000  6 S 2.79-2.85
5 Ce 0.5000 0.0000 0.5000  6 S 2.79-2.85
6 Ce 0.5000 0.5000 0.5000  6 S 2.84
7 Sm 0.0000 0.0000 0.5000  6 S 2.81-2.85
8 S 0.1624 0.6674 0.3068  2 Ce 2.79-2.84, 1 Sm 2.81
9 S 0.1665 0.1665 0.2971  2 Ce 2.85, 1 Sm 2.85
10 S 0.3313 0.3313 0.6933  3 Ce 2.80-2.84
11 S 0.3326 0.8376 0.6932  2 Ce 2.79-2.84, 1 Sm 2.81
12 S 0.6674 0.1624 0.3068  2 Ce 2.79-2.84, 1 Sm 2.81
13 S 0.6687 0.6687 0.3067  3 Ce 2.80-2.84
14 S 0.8335 0.8335 0.7029  2 Ce 2.85, 1 Sm 2.85
15 S 0.8376 0.3326 0.6932  2 Ce 2.79-2.84, 1 Sm 2.81


Record 5
This record from the Alexandria database describes an optimized crystal structure of KCeSm4S8. The functional is PBE-GGA.

Calculated values
Its space group is R3m, No. 160. Its raw formation energy is -1.896 eV per atom.

Lattice parameters (Å, degrees): 8.4380 8.4380 8.4380 59.54 59.54 59.54
Last column: nearest neighbours and their distance in Å.
Element x y z (fractional)
1 K 0.0000 0.0000 0.0000  4 S 2.91-2.92
2 Ce 0.6289 0.6289 0.6289  6 S 2.76-2.96
3 Sm 0.1135 0.6298 0.6298  6 S 2.73-2.94
4 Sm 0.2511 0.2511 0.2511  4 S 2.72-2.74
5 Sm 0.6298 0.1135 0.6298  6 S 2.73-2.94
6 Sm 0.6298 0.6298 0.1135  6 S 2.73-2.94
7 S 0.3807 0.3807 0.8544  3 Sm 2.72-2.93, 1 Ce 2.96
8 S 0.3807 0.8544 0.3807  3 Sm 2.72-2.93, 1 Ce 2.96
9 S 0.3831 0.3831 0.3831  4 Sm 2.74-2.94
10 S 0.4249 0.8600 0.8600  2 Sm 2.73, 1 Ce 2.76, 1 K 2.91
11 S 0.8544 0.3807 0.3807  3 Sm 2.72-2.93, 1 Ce 2.96
12 S 0.8594 0.8594 0.8594  3 Sm 2.74, 1 K 2.92
13 S 0.8600 0.4249 0.8600  2 Sm 2.73, 1 Ce 2.76, 1 K 2.91
14 S 0.8600 0.8600 0.4249  2 Sm 2.73, 1 Ce 2.76, 1 K 2.91


Record 6
This record from the Alexandria database describes an optimized crystal structure of K2CeSnS5. The functional is PBE-GGA.

Calculated values
Its space group is Cmc2_1, No. 36. Its raw formation energy is -1.148 eV per atom.

Lattice parameters (Å, degrees): 9.6062 9.6062 13.9940 90.00 90.00 155.41
Last column: nearest neighbours and their distance in Å.
Element x y z (fractional)
1 K 0.1088 0.8912 0.5000  6 S 3.19-3.55
2 K 0.1328 0.8672 0.1570  7 S 3.25-3.50
3 K 0.8672 0.1328 0.6570  7 S 3.25-3.50
4 K 0.8912 0.1088 0.0000  6 S 3.19-3.55
5 Ce 0.2152 0.7848 0.8673  3 S 2.51-2.68
6 Ce 0.7848 0.2152 0.3673  3 S 2.51-2.68
7 Sn 0.4403 0.5597 0.2544  4 S 2.32-2.54
8 Sn 0.5597 0.4403 0.7544  4 S 2.32-2.54
9 S 0.0498 0.9502 0.8617  2 Sn 2.54
10 S 0.2949 0.7051 0.4898  2 Ce 2.68
11 S 0.3117 0.6883 0.2271  1 Sn 2.44
12 S 0.3465 0.6535 0.8352  1 Ce 2.51
13 S 0.4982 0.5018 0.6110  1 Sn 2.32
14 S 0.5018 0.4982 0.1110  1 Sn 2.32
15 S 0.6535 0.3465 0.3352  1 Ce 2.51
16 S 0.6883 0.3117 0.7271  1 Sn 2.44
17 S 0.7051 0.2949 0.9898  2 Ce 2.68
18 S 0.9502 0.0498 0.3617  2 Sn 2.54


In μB per atom, the magnetic moment values for the records above are, in order, 0.015 0.168 0.126 0.134 0.071 0.000.
In eV/atom, the calculated total energy values for the records above are, in order, -4.895 -5.534 -5.496 -5.718 -6.105 -4.789.